Material: Tl2Hg6Pb
Method: DFT, PBE
State: relaxed

Lattice parameters (Å, degrees): 6.259 6.259 8.640 111.23 111.23 90.00
Positions (direct):
Tl 0.276 0.276 0.552
Tl 0.724 0.724 0.448
Hg 0.900 0.256 0.156
Hg 0.744 0.744 0.844
Hg 0.256 0.900 0.156
Hg 0.100 0.100 0.844
Hg 0.750 0.250 0.500
Hg 0.250 0.750 0.500
Pb 0.500 0.500 0.000

Energy relative to the lowest polymorph listed for this composition in meV/atom: 49
DFT formation energy in meV/atom: 73

Material: CsAs2
Method: DFT, PBE
State: relaxed

Lattice parameters (Å, degrees): 5.173 7.135 7.134 67.28 68.73 68.74
Positions (direct):
Cs 0.546 0.204 0.704
Cs 0.454 0.796 0.296
As 0.789 0.309 0.113
As 0.211 0.387 0.191
As 0.789 0.613 0.809
As 0.211 0.691 0.887

DFT formation energy in meV/atom: -321

Material: KYPb
Method: DFT, PBE
State: relaxed

Lattice parameters (Å, degrees): 5.469 5.469 8.187 90.00 90.00 90.00
Positions (direct):
Pb 0.000 0.500 0.312
Pb 0.500 0.000 0.688
Y 0.000 0.000 0.500
Y 0.500 0.500 0.500
K 0.000 0.500 0.870
K 0.500 0.000 0.130

Energy relative to the lowest polymorph listed for this composition in meV/atom: 0
DFT formation energy in meV/atom: -290

Material: RbTeI2N
Method: DFT, PBE
State: relaxed

Lattice parameters (Å, degrees): 7.069 7.069 7.444 90.00 90.00 90.00
Site moments in Bohr magnetons follow the coordinates.
Positions (direct):
I 0.000 0.500 0.000  0.32
I 0.500 0.000 0.000  0.32
Te 0.000 0.000 0.500  1.01
Rb 0.000 0.000 0.000  0.00
N 0.500 0.500 0.500  1.94

Energy relative to the lowest polymorph listed for this composition in meV/atom: 1163
Formation energy without anion corrections in meV per atom: 1130

Material: Ac4IrSe2O
Method: DFT, PBE
State: relaxed

Lattice parameters (Å, degrees): 4.206 7.352 7.869 108.98 90.00 90.00
Positions (direct):
Ac 0.500 0.225 0.214
Ac 0.500 0.775 0.786
Ac 0.000 0.258 0.777
Ac 0.000 0.742 0.223
Ir 0.500 0.500 0.000
Se 0.500 0.000 0.500
Se 0.000 0.500 0.500
O 0.000 0.000 0.000

Formation energy without anion corrections in meV per atom: -1673

Material: BaPr2Ge
Method: DFT, PBE
State: relaxed

Lattice parameters (Å, degrees): 4.323 4.323 10.445 78.06 78.06 60.00
Site moments in Bohr magnetons follow the coordinates.
Positions (direct):
Ba 0.501 0.501 0.496  0.07
Pr 0.053 0.053 0.841  0.13
Pr 0.280 0.280 0.160  0.10
Ge 0.666 0.666 0.003  0.00

Energy relative to the lowest polymorph listed for this composition in meV/atom: 0
DFT formation energy in meV/atom: -281

Material: KRh
Method: DFT, PBE
State: relaxed

Lattice parameters (Å, degrees): 5.983 15.081 8.897 90.00 90.00 90.00
Site moments in Bohr magnetons follow the coordinates.
Positions (direct):
K 0.000 0.000 0.663  0.00
K 0.000 0.000 0.337  0.00
K 0.250 0.750 0.587  0.00
K 0.250 0.750 0.913  0.00
K 0.000 0.500 0.163  0.00
K 0.000 0.500 0.837  0.00
K 0.250 0.250 0.087  0.00
K 0.250 0.250 0.413  0.00
K 0.500 0.000 0.163  0.00
K 0.500 0.000 0.837  0.00
K 0.750 0.750 0.087  0.00
K 0.750 0.750 0.413  0.00
K 0.500 0.500 0.663  0.00
K 0.500 0.500 0.337  0.00
K 0.750 0.250 0.587  0.00
K 0.750 0.250 0.913  0.00
Rh 0.000 0.081 0.000  0.56
Rh 0.000 0.919 0.000  0.56
Rh 0.250 0.669 0.250  0.56
Rh 0.250 0.831 0.250  0.56
Rh 0.000 0.581 0.500  0.56
Rh 0.000 0.419 0.500  0.56
Rh 0.250 0.169 0.750  0.56
Rh 0.250 0.331 0.750  0.56
Rh 0.500 0.081 0.500  0.56
Rh 0.500 0.919 0.500  0.56
Rh 0.750 0.669 0.750  0.56
Rh 0.750 0.831 0.750  0.56
Rh 0.500 0.581 0.000  0.56
Rh 0.500 0.419 0.000  0.56
Rh 0.750 0.169 0.250  0.56
Rh 0.750 0.331 0.250  0.56

Energy relative to the lowest polymorph listed for this composition in meV/atom: 340
DFT formation energy in meV/atom: 708

Material: SrLiSiPt2
Method: DFT, PBE
State: relaxed

Lattice parameters (Å, degrees): 4.278 4.278 6.006 110.86 110.86 90.00
Positions (direct):
Sr 0.000 0.000 0.000
Li 0.750 0.250 0.500
Si 0.250 0.750 0.500
Pt 0.633 0.633 0.265
Pt 0.367 0.367 0.735

Formation energy without anion corrections in meV per atom: -836

Material: AlCu2Ge
Method: DFT, PBE
State: relaxed

Lattice parameters (Å, degrees): 3.051 3.051 6.228 90.00 90.00 90.00
Positions (direct):
Ge 0.500 0.500 0.500
Al 0.500 0.500 0.000
Cu 0.000 0.000 0.771
Cu 0.000 0.000 0.229

Energy relative to the lowest polymorph listed for this composition in meV/atom: 27
DFT formation energy in meV/atom: 34

Material: SbPO2F6
Method: DFT, PBE
State: relaxed

Lattice parameters (Å, degrees): 5.813 7.652 7.625 87.49 97.29 104.53
Positions (direct):
F 0.343 0.243 0.920
F 0.657 0.757 0.080
F 0.829 0.210 0.647
F 0.171 0.790 0.353
F 0.734 0.492 0.816
F 0.266 0.508 0.184
F 0.390 0.288 0.564
F 0.610 0.712 0.436
F 0.005 0.136 0.282
F 0.995 0.864 0.718
F 0.758 0.350 0.262
F 0.242 0.650 0.738
O 0.558 0.028 0.257
O 0.442 0.972 0.743
O 0.786 0.179 0.995
O 0.214 0.821 0.005
P 0.766 0.167 0.192
P 0.234 0.833 0.808
Sb 0.584 0.245 0.772
Sb 0.416 0.755 0.228

Formation energy without anion corrections in meV per atom: -2287

Material: Pu2MgCd
Method: DFT, PBE
State: relaxed

Lattice parameters (Å, degrees): 2.601 2.601 11.106 90.00 90.00 90.00
Positions (direct):
Mg 0.500 0.500 0.000
Cd 0.500 0.500 0.500
Pu 0.000 0.000 0.752
Pu 0.000 0.000 0.248

Energy relative to the lowest polymorph listed for this composition in meV/atom: 94
DFT formation energy in meV/atom: 625

Material: SrLaRh
Method: DFT, PBE
State: relaxed

Lattice parameters (Å, degrees): 5.082 5.082 5.082 60.00 60.00 60.00
Positions (direct):
La 0.500 0.500 0.500
Rh 0.750 0.750 0.750
Sr 0.000 0.000 0.000

Energy relative to the lowest polymorph listed for this composition in meV/atom: 119
DFT formation energy in meV/atom: -328